First-principles (PBE) data for an optimized crystal structure of CsRb2ZnCd, as listed in the Alexandria database.

Structure (POSCAR):
```
CsRb2ZnCd
1.0
-4.183 3.914 -4.396
-5.705 -4.023 1.847
-1.063 3.337 3.983
Zn Cd Cs Rb
1 1 1 2
direct
0.000 0.000 0.000
0.000 0.000 0.500
0.500 0.500 0.500
0.500 0.000 0.000
0.000 0.500 0.000
```

Values from the calculation:
- formation energy from the elements (eV per formula unit) = 0.51
- magnetization (μB/f.u.) = 0.0
- SG = P4/mmm
- density of states at the Fermi level (states/eV/f.u.) = 3.4
- total energy (eV per atom) = -0.89

***

First-principles (PBE) data for an optimized crystal structure of NdPO4, as listed in the Alexandria database.

Structure (POSCAR):
```
NdPO4
1.0
5.957 0.000 0.000
-2.688 5.316 0.000
-1.635 -2.658 5.072
P Nd O
2 2 8
direct
0.625 0.375 0.250
0.375 0.625 0.750
0.125 0.875 0.250
0.875 0.125 0.750
0.779 0.700 0.421
0.700 0.779 0.921
0.221 0.642 0.921
0.221 0.300 0.579
0.358 0.779 0.579
0.300 0.221 0.079
0.642 0.221 0.421
0.779 0.358 0.079
```

Values from the calculation:
- magnetization (μB/f.u.) = 0.0
- SG = I4_1/amd
- density of states at the Fermi level (states/eV/f.u.) = 0.0
- total energy (eV per atom) = -7.98
- energy relative to the elements, uncorrected (eV per atom) = -2.9822